Entry 1:
## HfRhN2F (PBE)

Data for a geometry-optimized HfRhN2F structure.

Cell: 4.2168 4.2168 3.9498 Å, 90.00 90.00 90.00°
Fractional coordinates of all 5 atoms:
Rh1 0.5000 0.5000 0.5000
N1 0.0000 0.5000 0.0000
N2 0.5000 0.0000 0.0000
Hf1 0.0000 0.0000 0.0000
F1 0.0000 0.0000 0.5000

Results
Volume, A^3/atom: 14.0
Distance to the lowest polymorph of the same formula, eV/atom: 0.000
E_form (uncorrected), eV/atom: -0.17
SG: P4/mmm (123)
Theoretical density, Mg/m³: 7.76

Entry 2:
## MgZrAs (PBE)

Data for a geometry-optimized MgZrAs structure.

Cell: 4.6434 4.6434 4.6434 Å, 60.00 60.00 60.00°
Fractional coordinates of all 3 atoms:
As1 0.0000 0.0000 0.0000
Mg1 0.5000 0.5000 0.5000
Zr1 0.7500 0.7500 0.7500

Results
ΔH_f (0 K), kJ/mol of formula units: 33
Volume, A^3/atom: 23.6
SG: F-43m (216)
Theoretical density, Mg/m³: 4.47

Entry 3:
## YTcIr2 (PBE)

Data for a geometry-optimized YTcIr2 structure.

Cell: 9.6308 9.6308 9.6308 Å, 17.15 17.15 17.15°
Fractional coordinates of all 4 atoms:
Ir1 0.9945 0.9945 0.9945
Ir2 0.2476 0.2476 0.2476
Tc1 0.5092 0.5092 0.5092
Y1 0.7486 0.7486 0.7486

Results
ΔH_f (0 K), kJ/mol of formula units: 123
Volume, A^3/atom: 16.9
Distance to the lowest polymorph of the same formula, eV/atom: 0.559
SG: R3m (160)
Theoretical density, Mg/m³: 14.00

Entry 4:
## Nd2Tm3Hg4 (PBE)

Data for a geometry-optimized Nd2Tm3Hg4 structure.

Cell: 6.9541 8.1517 9.5257 Å, 90.00 111.41 90.00°
Fractional coordinates of all 18 atoms:
Nd1 0.0958 0.5918 0.1916
Nd2 0.9042 0.4082 0.8084
Nd3 0.4042 0.0918 0.8084
Nd4 0.5958 0.9082 0.1916
Tm1 0.0000 0.0000 0.0000
Tm2 0.5000 0.5000 0.0000
Tm3 0.5114 0.7500 0.5228
Tm4 0.9886 0.2500 0.4772
Tm5 0.4886 0.2500 0.4772
Tm6 0.0114 0.7500 0.5228
Hg1 0.6844 0.7500 0.8687
Hg2 0.8156 0.2500 0.1313
Hg3 0.3156 0.2500 0.1313
Hg4 0.1844 0.7500 0.8687
Hg5 0.1692 0.9725 0.3385
Hg6 0.8308 0.0275 0.6615
Hg7 0.3308 0.4725 0.6615
Hg8 0.6692 0.5275 0.3385

Results
ΔH_f (0 K), kJ/mol of formula units: -312
Volume, A^3/atom: 27.9
SG: Cmce (64)
Theoretical density, Mg/m³: 10.55

Entry 5:
## Be2CrRh (PBE)

Data for a geometry-optimized Be2CrRh structure.

Cell: 4.8502 4.3613 2.5633 Å, 80.77 76.11 119.05°
Fractional coordinates of all 4 atoms:
Cr1 0.0000 0.5000 0.5000
Rh1 0.5000 0.5000 0.0000
Be1 0.0000 0.0000 0.0000
Be2 0.5000 0.0000 0.5000

Results
ΔH_f (0 K), kJ/mol of formula units: -5
Volume, A^3/atom: 10.9
Distance to the lowest polymorph of the same formula, eV/atom: 0.256
SG: C2/m (12)
Theoretical density, Mg/m³: 6.60

Entry 6:
## BeCu2Se (PBE)

Data for a geometry-optimized BeCu2Se structure.

Cell: 3.3029 3.3035 4.8731 Å, 90.00 90.00 90.00°
Fractional coordinates of all 4 atoms:
Be1 0.5000 0.5000 0.7517
Cu1 0.0000 0.0000 0.0034
Cu2 0.5000 0.5000 0.2259
Se1 0.0000 0.0000 0.5190

Results
Volume, A^3/atom: 13.3
Distance to the lowest polymorph of the same formula, eV/atom: 0.067
E_form (uncorrected), eV/atom: 0.14
SG: P4mm (99)
Theoretical density, Mg/m³: 6.72

Entry 7:
## LiZnRe2 (PBE)

Data for a geometry-optimized LiZnRe2 structure.

Cell: 5.1571 5.1571 5.1571 Å, 145.24 132.28 60.37°
Fractional coordinates of all 4 atoms:
Li1 0.2500 0.7500 0.5000
Re1 0.9977 0.9977 0.0000
Re2 0.5023 0.5023 0.0000
Zn1 0.7500 0.2500 0.5000

Results
ΔH_f (0 K), kJ/mol of formula units: 95
Volume, A^3/atom: 14.3
SG: Immm (71)
Theoretical density, Mg/m³: 12.89

Entry 8:
## Ac3TeRhCl (PBE)

Data for a geometry-optimized Ac3TeRhCl structure.

Cell: 4.4563 9.3638 9.9997 Å, 101.91 90.00 90.00°
Fractional coordinates of all 12 atoms:
Ac1 0.2500 0.7232 0.4719
Ac2 0.7500 0.8623 0.1200
Ac3 0.7500 0.4409 0.1564
Ac4 0.7500 0.2768 0.5281
Ac5 0.2500 0.5591 0.8436
Ac6 0.2500 0.1377 0.8800
Te1 0.7500 0.8320 0.7663
Te2 0.2500 0.1680 0.2337
Rh1 0.2500 0.6546 0.1486
Rh2 0.7500 0.3454 0.8514
Cl1 0.2500 0.0893 0.5856
Cl2 0.7500 0.9107 0.4144

Results
Volume, A^3/atom: 34.0
E_form (uncorrected), eV/atom: -1.20
SG: P2_1/m (11)
Theoretical density, Mg/m³: 7.70

Entry 9:
## Pm7Ge2Ir2 (PBE)

Data for a geometry-optimized Pm7Ge2Ir2 structure.

Cell: 6.8995 7.1096 6.8995 Å, 90.00 101.50 90.00°
Fractional coordinates of all 11 atoms:
Pm1 0.0000 0.2556 0.5000
Pm2 0.5000 0.7444 0.0000
Pm3 0.0000 0.7444 0.5000
Pm4 0.5000 0.2556 0.0000
Pm5 0.0000 0.0000 0.0000
Pm6 0.5000 0.7594 0.5000
Pm7 0.5000 0.2406 0.5000
Ge1 0.7800 0.5000 0.7800
Ge2 0.2200 0.5000 0.2200
Ir1 0.7234 0.0000 0.2766
Ir2 0.2766 0.0000 0.7234

Results
ΔH_f (0 K), kJ/mol of formula units: -481
Volume, A^3/atom: 30.1
SG: Cmmm (65)
Theoretical density, Mg/m³: 7.73

Entry 10:
## CuHOF (PBE)

Data for a geometry-optimized CuHOF structure.

Cell: 6.4431 5.0989 5.3877 Å, 65.45 90.00 90.00°
Fractional coordinates of all 16 atoms:
Cu1 0.3782 0.0126 0.7593
Cu2 0.8782 0.9874 0.7407
Cu3 0.6218 0.9874 0.2407
Cu4 0.1218 0.0126 0.2593
H1 0.1362 0.6104 0.7538
H2 0.6362 0.3896 0.7462
H3 0.8638 0.3896 0.2462
H4 0.3638 0.6104 0.2538
O1 0.3611 0.8288 0.1653
O2 0.8611 0.1712 0.3347
O3 0.6389 0.1712 0.8347
O4 0.1389 0.8288 0.6653
F1 0.3871 0.2806 0.3705
F2 0.8871 0.7194 0.1295
F3 0.6129 0.7194 0.6295
F4 0.1129 0.2806 0.8705

Results
Volume, A^3/atom: 10.1
Distance to the lowest polymorph of the same formula, eV/atom: 0.000
SG: P2_1/c (14)
Theoretical density, Mg/m³: 4.11

Entry 11:
## MnIn2Hg (PBE)

Data for a geometry-optimized MnIn2Hg structure.

Cell: 5.3513 7.0395 3.2427 Å, 62.53 90.02 121.20°
Fractional coordinates of all 4 atoms:
Hg1 0.5000 0.0000 0.5000
In1 0.0000 0.0000 0.0000
In2 0.0000 0.5000 0.5000
Mn1 0.5000 0.5000 0.0000

Results
ΔH_f (0 K), kJ/mol of formula units: 89
Volume, A^3/atom: 22.0
SG: Cmmm (65)
Theoretical density, Mg/m³: 9.15

Entry 12:
## NbVRh3 (PBE)

Data for a geometry-optimized NbVRh3 structure.

Cell: 4.4555 4.4555 4.4555 Å, 90.00 90.00 90.00°
Fractional coordinates of all 5 atoms:
Nb1 0.5000 0.5000 0.5000
Rh1 0.0000 0.5000 0.0000
Rh2 0.0000 0.0000 0.5000
Rh3 0.5000 0.0000 0.0000
V1 0.0000 0.0000 0.0000

Results
ΔH_f (0 K), kJ/mol of formula units: 326
Volume, A^3/atom: 17.7
Distance to the lowest polymorph of the same formula, eV/atom: 1.036
SG: Pm-3m (221)
Theoretical density, Mg/m³: 8.50